Compound: YHf2AgI
Source: Alexandria
Functional: PBE
Structure: optimized geometry

**Symmetry**: P4/mmm (123)
**Raw formation energy**: 0.890 eV per atom

```
YHf2AgI
1.0
5.2550 0.0000 0.0000
0.0000 5.2550 0.0000
0.0000 0.0000 5.2229
Y Hf Ag I
1 2 1 1
Direct
0.0000 0.0000 0.0000 Y
0.0000 0.5000 0.5000 Hf
0.5000 0.0000 0.5000 Hf
0.5000 0.5000 0.0000 Ag
0.5000 0.5000 0.5000 I
```


Compound: Hf3In4Ag
Source: Alexandria
Functional: PBE
Structure: optimized geometry

**Symmetry**: Pmn2_1 (31)
**Energy of formation from the pure elements**: 9 meV/atom

```
Hf3In4Ag
1.0
9.9951 0.0000 0.0000
0.0000 6.1304 0.0000
0.0000 0.0000 5.8189
Hf In Ag
6 8 2
Direct
0.0000 0.1687 0.0000 Hf
0.2317 0.3879 0.3131 Hf
0.2683 0.6121 0.8131 Hf
0.5000 0.8313 0.5000 Hf
0.7317 0.6121 0.8131 Hf
0.7683 0.3879 0.3131 Hf
0.0000 0.0877 0.5032 In
0.0000 0.5861 0.5954 In
0.2286 0.8789 0.2635 In
0.2714 0.1211 0.7635 In
0.5000 0.4139 0.0954 In
0.5000 0.9123 0.0032 In
0.7286 0.1211 0.7635 In
0.7714 0.8789 0.2635 In
0.0000 0.6398 0.0850 Ag
0.5000 0.3602 0.5850 Ag
```


Compound: Hf6In3Ag
Source: Alexandria
Functional: PBE
Structure: optimized geometry

**Symmetry**: Cmc2_1 (36)
**Energy of formation from the pure elements**: 112 meV/atom

```
Hf6In3Ag
1.0
4.9413 -7.9878 0.0000
4.9413 7.9878 0.0000
0.0000 0.0000 5.6559
Hf In Ag
12 6 2
Direct
0.0184 0.4451 0.0617 Hf
0.0614 0.9386 0.5000 Hf
0.2833 0.3889 0.8741 Hf
0.2843 0.7157 0.8235 Hf
0.3889 0.2833 0.3741 Hf
0.4451 0.0184 0.5617 Hf
0.5549 0.9816 0.0617 Hf
0.6111 0.7167 0.8741 Hf
0.7157 0.2843 0.3235 Hf
0.7167 0.6111 0.3741 Hf
0.9386 0.0614 0.0000 Hf
0.9816 0.5549 0.5617 Hf
0.0514 0.2609 0.4714 In
0.2609 0.0514 0.9714 In
0.3903 0.6097 0.3424 In
0.6097 0.3903 0.8424 In
0.7391 0.9486 0.4714 In
0.9486 0.7391 0.9714 In
0.2199 0.7801 0.2898 Ag
0.7801 0.2199 0.7898 Ag
```


Compound: HfInAg2
Source: Alexandria
Functional: PBE
Structure: optimized geometry

**Symmetry**: P4/mmm (123)
**Energy of formation from the pure elements**: 27 meV/atom

```
HfInAg2
1.0
3.1747 0.0000 0.0000
0.0000 3.1747 0.0000
0.0000 0.0000 7.9590
Hf In Ag
1 1 2
Direct
0.0000 0.0000 0.0000 Hf
0.0000 0.0000 0.5000 In
0.5000 0.5000 0.2476 Ag
0.5000 0.5000 0.7524 Ag
```